# 1
Computed, not measured: Er2PuCr2C4 after structural relaxation at the PBE-GGA level of DFT.

## Properties
formation energy: -66 meV/atom

Lattice parameters (Å, degrees): 3.366 6.671 5.927 110.04 90.00 104.61
Each line ends with the local moment (μB).
Atoms (fractional coordinates):
Cr (0.321, 0.641, 0.013)  -0.12
C (0.466, 0.932, 0.256)  0.07
Cr (0.679, 0.359, 0.987)  -0.12
C (0.220, 0.441, 0.202)  0.01
C (0.534, 0.068, 0.744)  0.07
Er (0.136, 0.271, 0.540)  -0.03
Er (0.864, 0.729, 0.460)  -0.03
C (0.780, 0.559, 0.798)  0.01
Pu (0.000, 0.000, 0.000)  -4.51


# 2
Computed, not measured: ErPu2Cr2C4 after structural relaxation at the PBE-GGA level of DFT.

## Properties
formation energy: -31 meV/atom

Lattice parameters (Å, degrees): 3.386 6.782 5.952 108.11 90.00 104.46
Each line ends with the local moment (μB).
Atoms (fractional coordinates):
Cr (0.681, 0.361, 0.003)  0.40
C (0.450, 0.900, 0.242)  -0.10
C (0.550, 0.100, 0.758)  -0.10
Er (0.000, 0.000, 0.000)  0.15
Pu (0.871, 0.742, 0.462)  5.18
C (0.786, 0.571, 0.820)  -0.06
Cr (0.319, 0.639, 0.997)  0.40
C (0.214, 0.429, 0.180)  -0.06
Pu (0.129, 0.258, 0.538)  5.18


# 3
Computed, not measured: ErSc2Cr2C4 after structural relaxation at the PBE-GGA level of DFT.

## Properties
formation energy: -235 meV/atom

Lattice parameters (Å, degrees): 3.169 6.621 5.644 111.83 90.00 103.84
Atoms (fractional coordinates):
Cr (0.674, 0.348, 0.974)
Sc (0.150, 0.300, 0.541)
C (0.478, 0.956, 0.364)
Er (0.000, 0.000, 0.000)
Sc (0.850, 0.700, 0.459)
Cr (0.326, 0.652, 0.026)
C (0.780, 0.560, 0.784)
C (0.522, 0.044, 0.636)
C (0.220, 0.440, 0.216)


# 4
Computed, not measured: Er2ScCr2C4 after structural relaxation at the PBE-GGA level of DFT.

## Properties
formation energy: -218 meV/atom

Lattice parameters (Å, degrees): 3.319 6.557 5.803 108.97 90.00 104.66
Atoms (fractional coordinates):
Sc (0.000, 0.000, 0.000)
Er (0.131, 0.263, 0.536)
Cr (0.323, 0.647, 0.008)
Er (0.869, 0.737, 0.464)
Cr (0.677, 0.353, 0.992)
C (0.465, 0.931, 0.245)
C (0.784, 0.568, 0.804)
C (0.216, 0.432, 0.196)
C (0.535, 0.069, 0.755)


# 5
Computed, not measured: ErCr2SiC after structural relaxation at the PBE-GGA level of DFT.

## Properties
E_form (uncorrected): -0.42 eV per atom

Lattice parameters (Å, degrees): 3.656 5.562 7.218 90.00 90.00 109.19
Atoms (fractional coordinates):
Si (0.259, 0.519, 0.250)
C (0.000, 0.000, 0.500)
Cr (0.826, 0.651, 0.441)
Cr (0.174, 0.349, 0.559)
Cr (0.174, 0.349, 0.941)
Er (0.537, 0.074, 0.250)
C (0.000, 0.000, 0.000)
Cr (0.826, 0.651, 0.059)
Si (0.741, 0.481, 0.750)
Er (0.463, 0.926, 0.750)


# 6
Computed, not measured: SmEr2Cr2C4 after structural relaxation at the PBE-GGA level of DFT.

## Properties
formation energy: -56 meV/atom

Lattice parameters (Å, degrees): 3.405 6.806 5.999 111.29 90.00 104.49
Atoms (fractional coordinates):
C (0.540, 0.080, 0.734)
Cr (0.679, 0.358, 0.981)
C (0.782, 0.564, 0.811)
Sm (0.000, 0.000, 0.000)
C (0.218, 0.436, 0.189)
Er (0.865, 0.729, 0.455)
C (0.460, 0.920, 0.266)
Er (0.135, 0.271, 0.545)
Cr (0.321, 0.642, 0.019)


# 7
Computed, not measured: ErTaCrC3 after structural relaxation at the PBE-GGA level of DFT.

## Properties
formation energy: -138 meV/atom

Lattice parameters (Å, degrees): 3.311 6.815 7.324 100.91 90.00 90.00
Atoms (fractional coordinates):
Er (0.250, 0.176, 0.191)
C (0.750, 0.430, 0.152)
Ta (0.250, 0.642, 0.144)
Ta (0.750, 0.358, 0.856)
Cr (0.750, 0.900, 0.396)
C (0.750, 0.880, 0.145)
C (0.750, 0.183, 0.521)
Cr (0.250, 0.100, 0.604)
C (0.250, 0.120, 0.855)
C (0.250, 0.817, 0.479)
Er (0.750, 0.824, 0.809)
C (0.250, 0.570, 0.848)


# 8
Computed, not measured: ErTa2CrC4 after structural relaxation at the PBE-GGA level of DFT.

## Properties
formation energy: -372 meV/atom

Lattice parameters (Å, degrees): 3.184 5.761 10.992 90.00 90.00 106.04
Atoms (fractional coordinates):
Er (0.897, 0.794, 0.250)
C (0.000, 0.000, 0.500)
Cr (0.836, 0.673, 0.750)
C (0.735, 0.470, 0.618)
C (0.735, 0.470, 0.882)
Ta (0.370, 0.740, 0.959)
C (0.566, 0.131, 0.250)
Ta (0.630, 0.260, 0.041)
C (0.265, 0.530, 0.382)
C (0.434, 0.869, 0.750)
Ta (0.630, 0.260, 0.459)
C (0.000, 0.000, 0.000)
Er (0.103, 0.206, 0.750)
Cr (0.164, 0.327, 0.250)
Ta (0.370, 0.740, 0.541)
C (0.265, 0.530, 0.118)


# 9
Computed, not measured: Tb2ErCr2C4 after structural relaxation at the PBE-GGA level of DFT.

## Properties
formation energy: -142 meV/atom

Lattice parameters (Å, degrees): 3.410 6.745 5.964 109.21 90.00 104.64
Atoms (fractional coordinates):
Cr (0.320, 0.641, 0.009)
Cr (0.680, 0.359, 0.991)
C (0.544, 0.088, 0.756)
Er (0.000, 0.000, 0.000)
C (0.215, 0.431, 0.187)
C (0.456, 0.912, 0.244)
C (0.785, 0.569, 0.813)
Tb (0.866, 0.732, 0.458)
Tb (0.134, 0.268, 0.542)


# 10
Computed, not measured: TbEr2Cr2C4 after structural relaxation at the PBE-GGA level of DFT.

## Properties
formation energy: -109 meV/atom

Lattice parameters (Å, degrees): 3.393 6.737 5.954 110.36 90.00 104.59
Atoms (fractional coordinates):
Cr (0.679, 0.358, 0.984)
Er (0.865, 0.729, 0.456)
Tb (0.000, 0.000, 0.000)
Er (0.135, 0.271, 0.544)
C (0.783, 0.566, 0.807)
C (0.459, 0.919, 0.257)
C (0.541, 0.081, 0.743)
Cr (0.321, 0.642, 0.016)
C (0.217, 0.434, 0.193)


# 11
Computed, not measured: ErTm2Cr2C4 after structural relaxation at the PBE-GGA level of DFT.

## Properties
formation energy: -145 meV/atom

Lattice parameters (Å, degrees): 3.367 6.663 5.918 110.24 90.00 104.63
Atoms (fractional coordinates):
Cr (0.679, 0.357, 0.983)
C (0.783, 0.567, 0.803)
Cr (0.321, 0.643, 0.017)
C (0.538, 0.076, 0.744)
C (0.462, 0.924, 0.256)
Tm (0.135, 0.270, 0.543)
Er (0.000, 0.000, 0.000)
C (0.217, 0.433, 0.197)
Tm (0.865, 0.730, 0.457)


# 12
Computed, not measured: Er2TmCr2C4 after structural relaxation at the PBE-GGA level of DFT.

## Properties
formation energy: -156 meV/atom

Lattice parameters (Å, degrees): 3.373 6.667 5.925 109.90 90.00 104.65
Atoms (fractional coordinates):
Tm (0.000, 0.000, 0.000)
C (0.461, 0.922, 0.251)
C (0.784, 0.568, 0.805)
Cr (0.321, 0.642, 0.014)
Cr (0.679, 0.358, 0.986)
Er (0.135, 0.269, 0.542)
C (0.539, 0.078, 0.749)
C (0.216, 0.432, 0.195)
Er (0.865, 0.731, 0.458)